Crystalline Mo9Pt4Rh11 at its relaxed geometry, computed with PBE.

a b c (Å): 2.749 12.044 12.044
angles (deg): 114.69 90.00 90.00
Atoms (fractional coordinates):
Mo (0.500, 0.602, 0.176)
Mo (0.500, 0.398, 0.824)
Mo (0.500, 0.176, 0.602)
Mo (0.500, 0.824, 0.398)
Mo (0.500, 0.797, 0.990)
Mo (0.500, 0.203, 0.010)
Mo (0.500, 0.990, 0.797)
Mo (0.500, 0.010, 0.203)
Mo (0.500, 0.500, 0.500)
Pt (0.500, 0.588, 0.758)
Pt (0.500, 0.412, 0.242)
Pt (0.500, 0.758, 0.588)
Pt (0.500, 0.242, 0.412)
Rh (0.000, 0.600, 0.976)
Rh (0.000, 0.400, 0.024)
Rh (0.000, 0.976, 0.600)
Rh (0.000, 0.024, 0.400)
Rh (0.000, 0.619, 0.381)
Rh (0.000, 0.381, 0.619)
Rh (0.000, 0.808, 0.192)
Rh (0.000, 0.192, 0.808)
Rh (0.000, 0.000, 0.000)
Rh (0.000, 0.798, 0.798)
Rh (0.000, 0.202, 0.202)

Values from the calculation:
Its space group is Cmmm (65). For the calculated total energy, the calculation gives -8.59 eV/atom.

---

Crystalline IrSF at its relaxed geometry, computed with PBE.

a b c (Å): 3.368 3.368 16.304
angles (deg): 90.00 90.00 120.00
Atoms (fractional coordinates):
S (0.000, 0.000, 0.095)
S (0.333, 0.667, 0.761)
S (0.667, 0.333, 0.428)
Ir (0.000, 0.000, 0.831)
Ir (0.333, 0.667, 0.498)
Ir (0.667, 0.333, 0.165)
F (0.000, 0.000, 0.575)
F (0.333, 0.667, 0.241)
F (0.667, 0.333, 0.908)

Values from the calculation:
The value obtained for the energy above the most stable polymorph in this dataset is 0.5 meV per atom. The formation energy from raw total energies comes out at -0.82 eV/atom. Its space group is R3m (160).

---

Crystalline Pm4Er3Tm4 at its relaxed geometry, computed with PBE.

a b c (Å): 3.567 5.544 18.160
angles (deg): 81.20 84.39 90.00
Atoms (fractional coordinates):
Pm (0.553, 0.552, 0.895)
Pm (0.447, 0.448, 0.105)
Pm (0.322, 0.823, 0.354)
Pm (0.678, 0.177, 0.646)
Er (0.147, 0.646, 0.708)
Er (0.853, 0.354, 0.292)
Er (0.000, 0.000, 0.000)
Tm (0.094, 0.092, 0.815)
Tm (0.265, 0.265, 0.470)
Tm (0.735, 0.735, 0.530)
Tm (0.906, 0.908, 0.185)

Values from the calculation:
The value obtained for the energy above the most stable polymorph in this dataset is 0.0 meV per atom. Its space group is P-1 (2).

---

Crystalline InAg2Ir at its relaxed geometry, computed with PBE.

a b c (Å): 3.994 3.994 4.382
angles (deg): 90.00 90.00 90.00
Atoms (fractional coordinates):
Ir (0.000, 0.500, 0.500)
Ag (0.000, 0.000, 0.000)
Ag (0.500, 0.500, 0.000)
In (0.500, 0.000, 0.500)

Values from the calculation:
Its space group is P4/mmm (123). For the calculated total energy, the calculation gives -4.24 eV/atom.

---

Crystalline NiBr2 at its relaxed geometry, computed with PBE.

a b c (Å): 5.495 5.495 5.495
angles (deg): 108.95 108.95 110.52
Each line ends with the local moment (μB).
Atoms (fractional coordinates):
Ni (0.250, 0.250, 0.000)  1.24
Ni (0.750, 0.750, 0.000)  1.24
Br (0.812, 0.312, 0.124)  0.31
Br (0.188, 0.688, 0.876)  0.31
Br (0.312, 0.188, 0.500)  0.31
Br (0.688, 0.812, 0.500)  0.31

Values from the calculation:
The formation energy from raw total energies comes out at 0.28 eV/atom. Its space group is I4/mcm (140).

---

Crystalline Tb4HgBiC at its relaxed geometry, computed with PBE.

a b c (Å): 6.899 6.887 8.581
angles (deg): 90.00 113.70 90.00
Atoms (fractional coordinates):
Tb (0.916, 0.250, 0.832)
Tb (0.406, 0.750, 0.812)
Tb (0.084, 0.750, 0.168)
Tb (0.594, 0.250, 0.188)
Tb (0.500, 0.500, 0.500)
Tb (0.000, 0.000, 0.500)
Tb (0.500, 0.000, 0.500)
Tb (0.000, 0.500, 0.500)
Hg (0.115, 0.250, 0.231)
Hg (0.885, 0.750, 0.769)
Bi (0.608, 0.750, 0.216)
Bi (0.392, 0.250, 0.784)
C (0.249, 0.750, 0.498)
C (0.751, 0.250, 0.502)

Values from the calculation:
Its space group is Cmcm (63). For the calculated total energy, the calculation gives -5.08 eV/atom.

---

Crystalline Li2ScSi at its relaxed geometry, computed with PBE.

a b c (Å): 5.877 5.877 5.877
angles (deg): 149.77 133.87 56.15
Atoms (fractional coordinates):
Li (0.039, 0.039, 0.000)
Li (0.461, 0.461, 0.000)
Sc (0.750, 0.250, 0.500)
Si (0.250, 0.750, 0.500)

Values from the calculation:
The formation energy from raw total energies comes out at -0.22 eV/atom. Its space group is Immm (71).

---

Crystalline CaAc3La at its relaxed geometry, computed with PBE.

a b c (Å): 8.229 10.336 10.336
angles (deg): 89.63 90.01 90.01
Atoms (fractional coordinates):
Ca (0.250, 0.245, 0.755)
Ca (0.750, 0.755, 0.245)
Ca (0.250, 0.745, 0.255)
Ca (0.750, 0.255, 0.745)
Ac (0.621, 0.109, 0.098)
Ac (0.879, 0.902, 0.891)
Ac (0.379, 0.891, 0.902)
Ac (0.121, 0.098, 0.109)
Ac (0.632, 0.596, 0.904)
Ac (0.868, 0.096, 0.404)
Ac (0.368, 0.404, 0.096)
Ac (0.132, 0.904, 0.596)
Ac (0.621, 0.402, 0.391)
Ac (0.879, 0.609, 0.598)
Ac (0.379, 0.598, 0.609)
Ac (0.121, 0.391, 0.402)
La (0.895, 0.404, 0.097)
La (0.605, 0.903, 0.596)
La (0.105, 0.596, 0.903)
La (0.395, 0.097, 0.404)

Values from the calculation:
The value obtained for the energy above the most stable polymorph in this dataset is 0.0 meV per atom. Its space group is Cmce (64).